i.
# La3BiRh

A relaxed structure of La3BiRh (PBE-GGA, Alexandria).

Unit cell a=4.7463 b=8.5923 c=15.4947 alpha=90.00 beta=90.00 gamma=90.00
Fractional positions:
1 La 0.7500 0.8067 0.2145
2 La 0.7500 0.1414 0.0078
3 La 0.2500 0.8586 0.9922
4 La 0.7500 0.6414 0.4922
5 La 0.7500 0.0303 0.5989
6 La 0.7500 0.5303 0.9011
7 La 0.2500 0.4697 0.0989
8 La 0.2500 0.3586 0.5078
9 La 0.7500 0.3067 0.2855
10 La 0.2500 0.6933 0.7145
11 La 0.2500 0.1933 0.7855
12 La 0.2500 0.9697 0.4011
13 Bi 0.2500 0.5864 0.3207
14 Bi 0.7500 0.9136 0.8207
15 Bi 0.7500 0.4136 0.6793
16 Bi 0.2500 0.0864 0.1793
17 Rh 0.2500 0.3217 0.9390
18 Rh 0.7500 0.1783 0.4390
19 Rh 0.7500 0.6783 0.0610
20 Rh 0.2500 0.8217 0.5610

Computed properties:
symmetry: No. 62

---

ii.
# La3BiRh

A relaxed structure of La3BiRh (PBE-GGA, Alexandria).

Unit cell a=4.3332 b=9.0404 c=9.0407 alpha=70.49 beta=90.00 gamma=90.00
Fractional positions:
1 La 0.8631 0.7686 0.4249
2 La 0.8635 0.3726 0.8208
3 La 0.8630 0.6198 0.0679
4 La 0.3632 0.3715 0.4238
5 La 0.8634 0.0156 0.6721
6 La 0.3632 0.0168 0.0691
7 Bi 0.8632 0.1942 0.2464
8 Bi 0.3632 0.6942 0.7464
9 Rh 0.3630 0.6941 0.2464
10 Rh 0.3634 0.1941 0.7464

Computed properties:
symmetry: No. 65

---

iii.
# La3BiRh

A relaxed structure of La3BiRh (PBE-GGA, Alexandria).

Unit cell a=5.5393 b=5.5393 c=5.5393 alpha=90.00 beta=90.00 gamma=90.00
Fractional positions:
1 La 0.5000 0.0000 0.0000
2 La 0.0000 0.0000 0.5000
3 La 0.0000 0.5000 0.0000
4 Rh 0.0000 0.0000 0.0000
5 Bi 0.5000 0.5000 0.5000

Computed properties:
symmetry: No. 221

---

Stability verdict: i, ahead by 0.115 eV/atom

---

i.
# LaBiRh3

A relaxed structure of LaBiRh3 (PBE-GGA, Alexandria).

Unit cell a=4.9444 b=4.9444 c=4.9444 alpha=90.00 beta=90.00 gamma=90.00
Fractional positions:
1 Rh 0.0000 0.5000 0.0000
2 Rh 0.0000 0.0000 0.5000
3 Rh 0.5000 0.0000 0.0000
4 Bi 0.5000 0.5000 0.5000
5 La 0.0000 0.0000 0.0000

Computed properties:
symmetry: No. 221

---

ii.
# LaBiRh3

A relaxed structure of LaBiRh3 (PBE-GGA, Alexandria).

Unit cell a=5.7338 b=9.1377 c=6.6526 alpha=133.38 beta=115.53 gamma=90.00
Fractional positions:
1 Rh 0.8063 0.3063 0.1126
2 Rh 0.6937 0.6937 0.8874
3 Rh 0.3063 0.3063 0.1126
4 Rh 0.1937 0.6937 0.8874
5 Rh 0.7500 0.0340 0.5000
6 Rh 0.2500 0.9660 0.5000
7 Bi 0.5000 0.0000 0.0000
8 Bi 0.0000 0.5000 0.0000
9 La 0.2500 0.2619 0.5000
10 La 0.7500 0.7381 0.5000

Computed properties:
symmetry: No. 74

---

Stability verdict: ii, ahead by 1.141 eV/atom

---

i.
# La2BiRh3

A relaxed structure of La2BiRh3 (PBE-GGA, Alexandria).

Unit cell a=4.4930 b=4.4930 c=16.8850 alpha=90.00 beta=90.00 gamma=120.00
Fractional positions:
1 La 0.0000 0.0000 0.6112
2 La 0.0000 0.0000 0.8888
3 La 0.0000 0.0000 0.1112
4 La 0.0000 0.0000 0.3888
5 Rh 0.6667 0.3333 0.5008
6 Rh 0.3333 0.6667 0.4992
7 Rh 0.3333 0.6667 0.0008
8 Rh 0.6667 0.3333 0.2500
9 Rh 0.6667 0.3333 0.9992
10 Rh 0.3333 0.6667 0.7500
11 Bi 0.6667 0.3333 0.7500
12 Bi 0.3333 0.6667 0.2500

Computed properties:
symmetry: No. 194

---

ii.
# La2BiRh3

A relaxed structure of La2BiRh3 (PBE-GGA, Alexandria).

Unit cell a=6.2036 b=6.2036 c=8.6808 alpha=108.57 beta=108.57 gamma=96.24
Fractional positions:
1 Rh 0.1651 0.6680 0.8331
2 Rh 0.8349 0.3320 0.1669
3 Rh 0.8446 0.8446 0.6893
4 Rh 0.3320 0.8349 0.1669
5 Rh 0.1554 0.1554 0.3107
6 Rh 0.6680 0.1651 0.8331
7 La 0.7500 0.2500 0.5000
8 La 0.7550 0.7550 0.0000
9 La 0.2500 0.7500 0.5000
10 La 0.2450 0.2450 0.0000
11 Bi 0.3302 0.3302 0.6604
12 Bi 0.6698 0.6698 0.3396

Computed properties:
symmetry: No. 69

---

Stability verdict: i, ahead by 0.078 eV/atom

---

i.
# La3BiRu

A relaxed structure of La3BiRu (PBE-GGA, Alexandria).

Unit cell a=4.3930 b=8.9983 c=8.5538 alpha=96.07 beta=104.93 gamma=90.01
Fractional positions:
1 Ru 0.0098 0.9999 0.5173
2 Ru 0.3902 0.8000 0.2827
3 La 0.8210 0.9255 0.1449
4 La 0.5790 0.8745 0.6550
5 La 0.1466 0.2327 0.7924
6 La 0.4478 0.1827 0.3959
7 La 0.9522 0.6173 0.4041
8 La 0.2534 0.5674 0.0077
9 Bi 0.5898 0.4918 0.6798
10 Bi 0.8102 0.3082 0.1203

Computed properties:
symmetry: No. 2

---

ii.
# La3BiRu

A relaxed structure of La3BiRu (PBE-GGA, Alexandria).

Unit cell a=6.0717 b=7.6447 c=7.6448 alpha=60.02 beta=90.00 gamma=90.00
Fractional positions:
1 Ru 0.1500 0.9000 0.5000
2 Ru 0.6500 0.9000 0.5000
3 La 0.4001 0.5452 0.6766
4 La 0.4000 0.0767 0.6781
5 La 0.9000 0.7233 0.3219
6 La 0.9001 0.7221 0.8548
7 La 0.8999 0.2548 0.3234
8 La 0.3999 0.0779 0.1452
9 Bi 0.9000 0.2334 0.8334
10 Bi 0.4000 0.5666 0.1666

Computed properties:
symmetry: No. 176

---

Stability verdict: ii, ahead by 0.037 eV/atom

---

i.
# La3BiRu

A relaxed structure of La3BiRu (PBE-GGA, Alexandria).

Unit cell a=9.2382 b=9.2382 c=5.6295 alpha=90.00 beta=90.00 gamma=136.89
Fractional positions:
1 La 0.4356 0.0894 0.2500
2 La 0.0000 0.0000 0.0000
3 La 0.0894 0.4356 0.7500
4 La 0.5644 0.9106 0.7500
5 La 0.0000 0.0000 0.5000
6 La 0.9106 0.5644 0.2500
7 Bi 0.5628 0.4372 0.7500
8 Bi 0.4372 0.5628 0.2500
9 Ru 0.7268 0.2732 0.7500
10 Ru 0.2732 0.7268 0.2500

Computed properties:
symmetry: No. 63

---

ii.
# La3BiRu

A relaxed structure of La3BiRu (PBE-GGA, Alexandria).

Unit cell a=4.6985 b=8.3174 c=8.7790 alpha=115.21 beta=90.00 gamma=90.00
Fractional positions:
1 Bi 0.2500 0.3036 0.1843
2 Bi 0.7500 0.6964 0.8157
3 La 0.2500 0.9635 0.7485
4 La 0.7500 0.6594 0.4100
5 La 0.7500 0.3354 0.9066
6 La 0.2500 0.3406 0.5900
7 La 0.2500 0.6646 0.0934
8 La 0.7500 0.0365 0.2515
9 Ru 0.2500 0.8994 0.3858
10 Ru 0.7500 0.1006 0.6142

Computed properties:
symmetry: No. 11

---

iii.
# La3BiRu

A relaxed structure of La3BiRu (PBE-GGA, Alexandria).

Unit cell a=6.4257 b=6.4257 c=9.7731 alpha=70.81 beta=70.81 gamma=90.00
Fractional positions:
1 La 0.6343 0.8873 0.2255
2 La 0.1127 0.8597 0.7745
3 La 0.1403 0.8873 0.2255
4 La 0.1127 0.3657 0.7745
5 La 0.7109 0.7109 0.5782
6 La 0.2891 0.2891 0.4218
7 Bi 0.6467 0.1467 0.7067
8 Bi 0.8533 0.3533 0.2933
9 Ru 0.0000 0.0000 0.0000
10 Ru 0.2500 0.7500 0.5000

Computed properties:
symmetry: No. 119

---

iv.
# La3BiRu

A relaxed structure of La3BiRu (PBE-GGA, Alexandria).

Unit cell a=7.8115 b=7.8115 c=6.4476 alpha=90.00 beta=90.00 gamma=129.45
Fractional positions:
1 Bi 0.4117 0.5883 0.7500
2 Bi 0.5883 0.4117 0.2500
3 Ru 0.1693 0.8307 0.2500
4 Ru 0.8307 0.1693 0.7500
5 La 0.0000 0.0000 0.0000
6 La 0.9420 0.5579 0.7500
7 La 0.4421 0.0580 0.7500
8 La 0.0000 0.0000 0.5000
9 La 0.0580 0.4421 0.2500
10 La 0.5579 0.9420 0.2500

Computed properties:
symmetry: No. 63

---

Stability verdict: ii, ahead by 0.314 eV/atom

---

i.
# La3BiRu

A relaxed structure of La3BiRu (PBE-GGA, Alexandria).

Unit cell a=7.6090 b=7.6090 c=7.6090 alpha=62.19 beta=62.19 gamma=62.19
Fractional positions:
1 La 0.8074 0.6853 0.2463
2 La 0.7463 0.1853 0.3074
3 La 0.2463 0.8074 0.6853
4 La 0.6853 0.2463 0.8074
5 La 0.1853 0.3074 0.7463
6 La 0.3074 0.7463 0.1853
7 Ru 0.4963 0.4963 0.4963
8 Ru 0.9963 0.9963 0.9963
9 Bi 0.7464 0.7464 0.7464
10 Bi 0.2464 0.2464 0.2464

Computed properties:
symmetry: No. 167

---

ii.
# La3BiRu

A relaxed structure of La3BiRu (PBE-GGA, Alexandria).

Unit cell a=15.9109 b=6.6834 c=6.6834 alpha=138.21 beta=136.72 gamma=43.28
Fractional positions:
1 Bi 0.9248 0.9317 0.0683
2 Bi 0.0752 0.0683 0.9317
3 Ru 0.4160 0.9778 0.0222
4 Ru 0.5840 0.0222 0.9778
5 La 0.8467 0.7318 0.2682
6 La 0.6537 0.6044 0.3956
7 La 0.3463 0.3956 0.6044
8 La 0.6246 0.3202 0.6798
9 La 0.3754 0.6798 0.3202
10 La 0.1533 0.2682 0.7318

Computed properties:
symmetry: No. 12

---

Stability verdict: i, ahead by 0.093 eV/atom

---

i.
# La3BiRu

A relaxed structure of La3BiRu (PBE-GGA, Alexandria).

Unit cell a=7.3037 b=7.3037 c=7.3037 alpha=68.90 beta=68.90 gamma=68.90
Fractional positions:
1 La 0.4318 0.0329 0.7947
2 La 0.7947 0.4318 0.0329
3 La 0.5682 0.9671 0.2053
4 La 0.9671 0.2053 0.5682
5 La 0.0329 0.7947 0.4318
6 La 0.2053 0.5682 0.9671
7 Ru 0.0891 0.0891 0.0891
8 Ru 0.9109 0.9109 0.9109
9 Bi 0.3821 0.3821 0.3821
10 Bi 0.6179 0.6179 0.6179

Computed properties:
symmetry: No. 148

---

ii.
# La3BiRu

A relaxed structure of La3BiRu (PBE-GGA, Alexandria).

Unit cell a=8.1744 b=8.1744 c=8.1744 alpha=58.88 beta=58.88 gamma=58.88
Fractional positions:
1 La 0.9320 0.5680 0.2500
2 La 0.7500 0.0680 0.4320
3 La 0.5680 0.2500 0.9320
4 La 0.4320 0.7500 0.0680
5 La 0.2500 0.9320 0.5680
6 La 0.0680 0.4320 0.7500
7 Bi 0.5000 0.5000 0.5000
8 Bi 0.0000 0.0000 0.0000
9 Ru 0.7500 0.7500 0.7500
10 Ru 0.2500 0.2500 0.2500

Computed properties:
symmetry: No. 167

---

Stability verdict: i, ahead by 0.077 eV/atom

---

i.
# La3BiRu

A relaxed structure of La3BiRu (PBE-GGA, Alexandria).

Unit cell a=18.0703 b=8.8051 c=8.8051 alpha=143.24 beta=151.21 gamma=28.79
Fractional positions:
1 Bi 0.5165 0.0886 0.9114
2 Bi 0.4835 0.9114 0.0886
3 La 0.6290 0.1793 0.8207
4 La 0.2507 0.7283 0.2717
5 La 0.9781 0.3681 0.6319
6 La 0.7493 0.2717 0.7283
7 La 0.0219 0.6319 0.3681
8 La 0.3710 0.8207 0.1793
9 Ru 0.0048 0.8501 0.1499
10 Ru 0.9952 0.1499 0.8501

Computed properties:
symmetry: No. 12

---

ii.
# La3BiRu

A relaxed structure of La3BiRu (PBE-GGA, Alexandria).

Unit cell a=5.5149 b=5.5149 c=11.2338 alpha=90.00 beta=90.00 gamma=120.00
Fractional positions:
1 La 0.3333 0.6667 0.0475
2 La 0.6667 0.3333 0.9525
3 La 0.0000 0.0000 0.7500
4 La 0.3333 0.6667 0.4525
5 La 0.6667 0.3333 0.5475
6 La 0.0000 0.0000 0.2500
7 Bi 0.3333 0.6667 0.7500
8 Bi 0.6667 0.3333 0.2500
9 Ru 0.0000 0.0000 0.0000
10 Ru 0.0000 0.0000 0.5000

Computed properties:
symmetry: No. 194

---

iii.
# La3BiRu

A relaxed structure of La3BiRu (PBE-GGA, Alexandria).

Unit cell a=6.0592 b=7.1899 c=7.3897 alpha=90.00 beta=75.99 gamma=90.00
Fractional positions:
1 Ru 0.6688 0.2500 0.9859
2 Ru 0.3312 0.7500 0.0141
3 La 0.8852 0.7500 0.1366
4 La 0.3518 0.4825 0.2803
5 La 0.1148 0.2500 0.8634
6 La 0.6482 0.5175 0.7197
7 La 0.3518 0.0175 0.2803
8 La 0.6482 0.9825 0.7197
9 Bi 0.8493 0.2500 0.3227
10 Bi 0.1507 0.7500 0.6773

Computed properties:
symmetry: No. 11

---

Stability verdict: iii, ahead by 0.061 eV/atom